{"formula": "Li2Si5Pt3", "functional": "PBE", "state": "relaxed", "lattice": [[2.002, -11.304, 0.000], [2.002, 11.304, 0.000], [0.000, 0.000, 6.786]], "species": ["Li", "Li", "Li", "Li", "Si", "Si", "Si", "Si", "Si", "Si", "Si", "Si", "Si", "Si", "Pt", "Pt", "Pt", "Pt", "Pt", "Pt"], "fractional_positions": [[0.020, 0.980, 0.500], [0.324, 0.676, 0.558], [0.676, 0.324, 0.058], [0.980, 0.020, 0.000], [0.103, 0.897, 0.880], [0.205, 0.795, 0.769], [0.208, 0.792, 0.346], [0.385, 0.615, 0.969], [0.452, 0.548, 0.635], [0.548, 0.452, 0.135], [0.615, 0.385, 0.469], [0.792, 0.208, 0.846], [0.795, 0.205, 0.269], [0.897, 0.103, 0.380], [0.105, 0.895, 0.244], [0.275, 0.725, 0.057], [0.446, 0.554, 0.270], [0.554, 0.446, 0.770], [0.725, 0.275, 0.557], [0.895, 0.105, 0.744]], "magmom_total_mub_per_cell": 0.00, "space_group": "Cmc2_1, No. 36", "energy_ev_per_atom": -5.467}